# 1
Density functional theory data (PBE-GGA) for a relaxed CdSeSBr2 crystal.

Computed properties:
SG: No. 123
ΔE to the lowest computed polymorph, eV per formula unit: 1.21
ρ, g/cm³: 3.9
Size of the total moment, Bohr magnetons per cell: 4.0
Electronic total energy, eV/atom: -1.881

Cell: 5.508 5.508 5.435 Å, 90.00 90.00 90.00°
Fractional coordinates of all 5 atoms:
Cd 0.000 0.000 0.000
Se 0.000 0.000 0.500
S 0.500 0.500 0.500
Br 0.000 0.500 0.000
Br 0.500 0.000 0.000



# 2
Density functional theory data (PBE-GGA) for a relaxed CdSe2SBr crystal.

Computed properties:
SG: No. 123
ΔE to the lowest computed polymorph, eV per formula unit: 0.00
ρ, g/cm³: 5.1
Size of the total moment, Bohr magnetons per cell: 0.0
Electronic total energy, eV/atom: -2.418

Cell: 4.957 4.957 5.048 Å, 90.00 90.00 90.00°
Fractional coordinates of all 5 atoms:
Cd 0.000 0.000 0.000
Se 0.000 0.500 0.500
Se 0.500 0.000 0.500
S 0.500 0.500 0.500
Br 0.500 0.500 0.000



# 3
Density functional theory data (PBE-GGA) for a relaxed CdSeSBr2 crystal.

Computed properties:
SG: No. 123
ΔE to the lowest computed polymorph, eV per formula unit: 0.00
ρ, g/cm³: 4.8
Size of the total moment, Bohr magnetons per cell: 0.0
Electronic total energy, eV/atom: -2.122

Cell: 5.098 5.098 5.084 Å, 90.00 90.00 90.00°
Fractional coordinates of all 5 atoms:
Cd 0.000 0.000 0.000
Se 0.500 0.500 0.000
S 0.500 0.500 0.500
Br 0.000 0.500 0.500
Br 0.500 0.000 0.500



# 4
Density functional theory data (PBE-GGA) for a relaxed CdSiSBr2 crystal.

Computed properties:
SG: No. 123
ρ, g/cm³: 3.8
Size of the total moment, Bohr magnetons per cell: 0.0
Electronic total energy, eV/atom: -2.351

Cell: 5.339 5.339 5.099 Å, 90.00 90.00 90.00°
Fractional coordinates of all 5 atoms:
Cd 0.000 0.000 0.000
Si 0.500 0.500 0.500
S 0.000 0.000 0.500
Br 0.000 0.500 0.000
Br 0.500 0.000 0.000



# 5
Density functional theory data (PBE-GGA) for a relaxed CdSi2SBr crystal.

Computed properties:
SG: No. 123
ρ, g/cm³: 3.6
Size of the total moment, Bohr magnetons per cell: 0.0
Electronic total energy, eV/atom: -2.830

Cell: 4.885 4.885 5.405 Å, 90.00 90.00 90.00°
Fractional coordinates of all 5 atoms:
Cd 0.000 0.000 0.000
Si 0.000 0.500 0.500
Si 0.500 0.000 0.500
S 0.000 0.000 0.500
Br 0.500 0.500 0.000



# 6
Density functional theory data (PBE-GGA) for a relaxed CdSn2S2Br2 crystal.

Computed properties:
SG: No. 12
ρ, g/cm³: 4.6
Size of the total moment, Bohr magnetons per cell: 0.0
Electronic total energy, eV/atom: -3.545

Cell: 7.500 7.500 8.237 Å, 120.78 120.78 32.01°
Fractional coordinates of all 7 atoms:
Cd 0.000 0.000 0.000
Sn 0.153 0.153 0.555
Sn 0.847 0.847 0.445
S 0.204 0.204 0.290
S 0.796 0.796 0.710
Br 0.462 0.462 0.204
Br 0.538 0.538 0.796



- Which formula does entry 4 have?
  CdSiSBr2